A relaxed structure of Na3TaMn. Source: Alexandria, functional GGA-PBE.

a b c (Å): 5.884 5.884 5.884
angles (deg): 90.00 90.00 90.00
Element x y z (fractional)
Na  0.000  0.000  0.500
Na  0.000  0.500  0.000
Na  0.500  0.000  0.000
Ta  0.000  0.000  0.000
Mn  0.500  0.500  0.500

Properties
The offset from the most stable computed form is 0 meV/atom. As for the space group: Pm-3m, No. 221. The value obtained for the density of states at the Fermi level is 7.06 states/eV/f.u. The calculation puts the energy of formation from the pure elements at 1.927 eV per atom.